[1]
DFT (PBE) results for an optimized crystal structure of Rb2Hg3H8.

POSCAR file:
```
Rb2Hg3H8
1.0
6.069 -4.137 0.000
6.069 4.137 0.000
-2.517 0.000 5.048
Rb Hg H
2 3 8
direct
0.227 0.227 0.281
0.773 0.773 0.719
0.189 0.811 0.500
0.500 0.500 0.000
0.811 0.189 0.500
0.090 0.090 0.738
0.156 0.642 0.616
0.351 0.351 0.932
0.358 0.844 0.384
0.642 0.156 0.616
0.649 0.649 0.068
0.844 0.358 0.384
0.910 0.910 0.262
```

Values from the calculation:
**Raw total energy**: -28.8 eV per formula unit
**M_tot**: 0.000 μB/cell
**Space-group type**: C2/m

=====

[2]
DFT (PBE) results for an optimized crystal structure of RbHgH2.

POSCAR file:
```
RbHgH2
1.0
0.000 3.394 3.394
3.394 0.000 3.394
3.394 3.394 0.000
Rb Hg H
1 1 2
direct
0.000 0.000 0.000
0.500 0.500 0.500
0.250 0.250 0.250
0.750 0.750 0.750
```

Values from the calculation:
**Raw total energy**: -6.4 eV per formula unit
**M_tot**: 0.000 μB/cell
**Distance to the lowest polymorph of the same formula**: 1.81 eV per formula unit
**Space-group type**: Fm-3m

=====

[3]
DFT (PBE) results for an optimized crystal structure of Rb2HgH.

POSCAR file:
```
Rb2HgH
1.0
3.855 0.000 0.000
0.000 3.855 0.000
0.000 0.000 8.822
Rb Hg H
2 1 1
direct
0.000 0.000 0.203
0.000 0.000 0.797
0.500 0.500 0.500
0.500 0.500 0.000
```

Values from the calculation:
**Raw total energy**: -5.9 eV per formula unit
**M_tot**: 0.000 μB/cell
**Distance to the lowest polymorph of the same formula**: 0.05 eV per formula unit
**Space-group type**: P4/mmm